The following is a GGA-PBE calculation of crystalline BaFe3Os at its relaxed geometry, from the Alexandria database.

Values from the calculation:
DOS(E_F) in states/eV per cell: 8.280
Crystal system: cubic

Cell: 4.809 4.809 4.809 Å, 90.00 90.00 90.00°
Sites, in units of the cell vectors:
Ba  0.000  0.000  0.000
Fe  0.000  0.500  0.500
Fe  0.500  0.000  0.500
Fe  0.500  0.500  0.000
Os  0.500  0.500  0.500


The following is a GGA-PBE calculation of crystalline MgPd3Au at its relaxed geometry, from the Alexandria database.

Values from the calculation:
DOS(E_F) in states/eV per cell: 4.429
Crystal system: triclinic

Cell: 4.844 4.855 7.567 Å, 71.29 84.68 73.04°
Sites, in units of the cell vectors:
Mg  0.250  0.147  0.205
Mg  0.750  0.853  0.795
Pd  0.250  0.549  0.401
Pd  0.250  0.748  0.003
Pd  0.250  0.948  0.604
Pd  0.750  0.052  0.396
Pd  0.750  0.252  0.997
Pd  0.750  0.451  0.599
Au  0.250  0.350  0.799
Au  0.750  0.650  0.201


The following is a GGA-PBE calculation of crystalline Pm3CoCu at its relaxed geometry, from the Alexandria database.

Values from the calculation:
DOS(E_F) in states/eV per cell: 9.061
Crystal system: monoclinic

Cell: 6.170 6.170 7.983 Å, 109.31 109.31 62.49°
Sites, in units of the cell vectors:
Pm  0.007  0.007  0.230
Pm  0.308  0.308  0.664
Pm  0.310  0.310  0.146
Pm  0.690  0.690  0.854
Pm  0.692  0.692  0.336
Pm  0.993  0.993  0.770
Co  0.319  0.681  0.000
Co  0.681  0.319  0.000
Cu  0.303  0.697  0.500
Cu  0.697  0.303  0.500


The following is a GGA-PBE calculation of crystalline Rb2TcSe at its relaxed geometry, from the Alexandria database.

Values from the calculation:
DOS(E_F) in states/eV per cell: 4.157
Crystal system: cubic
Formation energy (no corrections) in eV per atom: 0.80

Cell: 5.919 5.919 5.919 Å, 60.00 60.00 60.00°
Sites, in units of the cell vectors:
Rb  0.250  0.250  0.250
Rb  0.750  0.750  0.750
Tc  0.000  0.000  0.000
Se  0.500  0.500  0.500


The following is a GGA-PBE calculation of crystalline Mg2PdCl at its relaxed geometry, from the Alexandria database.

Values from the calculation:
DOS(E_F) in states/eV per cell: 2.235
Crystal system: tetragonal
Formation energy (no corrections) in eV per atom: -0.55

Cell: 6.042 6.042 6.042 Å, 110.37 110.37 107.69°
Sites, in units of the cell vectors:
Mg  0.121  0.625  0.996
Mg  0.375  0.371  0.496
Mg  0.629  0.125  0.004
Mg  0.875  0.879  0.504
Pd  0.250  0.750  0.500
Pd  0.500  0.500  0.000
Cl  0.000  0.000  0.000
Cl  0.750  0.250  0.500


The following is a GGA-PBE calculation of crystalline CuTeHAu2 at its relaxed geometry, from the Alexandria database.

Values from the calculation:
DOS(E_F) in states/eV per cell: 1.276
Crystal system: tetragonal

Cell: 3.914 3.914 5.689 Å, 90.00 90.00 90.00°
Sites, in units of the cell vectors:
Cu  0.000  0.000  0.000
Te  0.500  0.500  0.000
H  0.000  0.000  0.500
Au  0.000  0.500  0.500
Au  0.500  0.000  0.500


The following is a GGA-PBE calculation of crystalline TaHg3Mo at its relaxed geometry, from the Alexandria database.

Values from the calculation:
DOS(E_F) in states/eV per cell: 4.359
Crystal system: cubic

Cell: 5.340 5.340 5.340 Å, 90.00 90.00 90.00°
Sites, in units of the cell vectors:
Ta  0.000  0.000  0.000
Hg  0.000  0.000  0.500
Hg  0.000  0.500  0.000
Hg  0.500  0.000  0.000
Mo  0.500  0.500  0.500


The following is a GGA-PBE calculation of crystalline TeP at its relaxed geometry, from the Alexandria database.

Values from the calculation:
DOS(E_F) in states/eV per cell: 1.465
Crystal system: trigonal
Formation energy (no corrections) in eV per atom: 0.26

Cell: 7.729 7.729 7.729 Å, 28.07 28.07 28.07°
Sites, in units of the cell vectors:
Te  0.108  0.108  0.108
Te  0.892  0.892  0.892
P  0.306  0.306  0.306
P  0.694  0.694  0.694


Calculated total DFT energy (no corrections), -6.780 -4.519 -5.185 -3.142 -3.105 -3.167 -3.091 -4.014 eV/atom (same order as the records).